[1]
Below is a geometry-optimized La2CrTc structure, with properties calculated at the PBE level.

Unit cell a=3.6616 b=3.6616 c=7.2478 alpha=90.00 beta=90.00 gamma=90.00
Last column: nearest neighbours and their distance in Å.
Space group P4/mmm (No. 123)
Symmetry-distinct sites (fractional):
La: 0.0000 0.0000 0.2338  4 Tc 3.09, 4 Cr 3.23, 1 La 3.39
Cr: 0.5000 0.5000 0.5000  8 La 3.23
Tc: 0.5000 0.5000 0.0000  8 La 3.09

Output
For the raw total energy, the calculation gives -7.08 eV per atom. As for the formation energy: 385 meV/atom. For the density of states at the Fermi level, the calculation gives 3.5 states/eV/f.u. The value obtained for the relative energy among the computed polymorphs is 0.54 eV per formula unit.

=====

[2]
Below is a geometry-optimized Pm2Ga4SiPd3 structure, with properties calculated at the PBE level.

Unit cell a=4.2228 b=4.2228 c=10.7112 alpha=90.00 beta=90.00 gamma=90.00
Last column: nearest neighbours and their distance in Å.
Space group P-4m2 (No. 115)
Symmetry-distinct sites (fractional):
Pm: 0.0000 0.5000 0.2488  8 Ga 3.23-3.40, 6 Pd 3.23-3.42, 2 Si 3.42
Ga: 0.0000 0.0000 0.0000  4 Pd 2.55
Ga: 0.0000 0.5000 0.6368  3 Pd 2.46-2.57, 2 Si 2.57
Ga: 0.5000 0.5000 0.0000  4 Pd 2.55
Si: 0.0000 0.0000 0.5000  4 Ga 2.57
Pd: 0.0000 0.5000 0.8669  5 Ga 2.46-2.55
Pd: 0.5000 0.5000 0.5000  4 Ga 2.57

Output
For the raw total energy, the calculation gives -4.98 eV per atom. Its formation energy from raw total energies is -0.717 eV per atom. For the density of states at the Fermi level, the calculation gives 7.7 states/eV/f.u.

=====

Please write out number 2 again, unchanged.
Below is a geometry-optimized Pm2Ga4SiPd3 structure, with properties calculated at the PBE level.

Unit cell a=4.2228 b=4.2228 c=10.7112 alpha=90.00 beta=90.00 gamma=90.00
Last column: nearest neighbours and their distance in Å.
Space group P-4m2 (No. 115)
Symmetry-distinct sites (fractional):
Pm: 0.0000 0.5000 0.2488  8 Ga 3.23-3.40, 6 Pd 3.23-3.42, 2 Si 3.42
Ga: 0.0000 0.0000 0.0000  4 Pd 2.55
Ga: 0.0000 0.5000 0.6368  3 Pd 2.46-2.57, 2 Si 2.57
Ga: 0.5000 0.5000 0.0000  4 Pd 2.55
Si: 0.0000 0.0000 0.5000  4 Ga 2.57
Pd: 0.0000 0.5000 0.8669  5 Ga 2.46-2.55
Pd: 0.5000 0.5000 0.5000  4 Ga 2.57

Output
For the raw total energy, the calculation gives -4.98 eV per atom. Its formation energy from raw total energies is -0.717 eV per atom. For the density of states at the Fermi level, the calculation gives 7.7 states/eV/f.u.

=====

What is the raw total energy in the first record? -7.08 eV per atom

=====

Among the records above, which one has the lowest density of states at the Fermi level? La2CrTc